# CaSc2Pb (PBE, optimized geometry)
# - V: 212.3 Å³ per cell
# - Total DFT energy (no corrections): -37.74 eV/cell
# - Crystal system: tetragonal
data_CaSc2Pb
_symmetry_space_group_name_H-M 'I 4/m m m'
_symmetry_Int_Tables_number 139
_symmetry_space_group_name_Hall '-I 4 2'
_cell_length_a 4.613
_cell_length_b 4.613
_cell_length_c 9.974
_cell_angle_alpha 90.00
_cell_angle_beta 90.00
_cell_angle_gamma 90.00
loop_
_atom_site_label
_atom_site_fract_x
_atom_site_fract_y
_atom_site_fract_z
_atom_site_occupancy
Ca1 0.000 0.000 0.000 1
Sc1 0.000 0.500 0.250 1
Pb1 0.000 0.000 0.500 1

---

# Sc5Bi3 (PBE, optimized geometry)
# - V: 797.6 Å³ per cell
# - Total DFT energy (no corrections): -192.49 eV/cell
# - Crystal system: orthorhombic
data_Sc5Bi3
_symmetry_space_group_name_H-M 'P n m a'
_symmetry_Int_Tables_number 62
_cell_length_a 11.329
_cell_length_b 8.983
_cell_length_c 7.838
_cell_angle_alpha 90.00
_cell_angle_beta 90.00
_cell_angle_gamma 90.00
loop_
_symmetry_equiv_pos_as_xyz
'x,y,z'
'-x,-y,-z'
'-x+1/2,-y,z+1/2'
'x+1/2,y,-z+1/2'
'x+1/2,-y+1/2,-z+1/2'
'-x+1/2,y+1/2,z+1/2'
'-x,y+1/2,-z'
'x,-y+1/2,z'
loop_
_atom_site_label
_atom_site_fract_x
_atom_site_fract_y
_atom_site_fract_z
_atom_site_occupancy
Sc1 0.006 0.250 0.020 1
Sc2 0.063 0.065 0.694 1
Sc3 0.214 0.750 0.339 1
Sc4 0.230 0.250 0.324 1
Bi1 0.027 0.750 0.599 1
Bi2 0.176 0.509 0.064 1

---

# Nd2GdHo (PBE, optimized geometry)
# - V: 133.7 Å³ per cell
# - Total DFT energy (no corrections): -28.14 eV/cell
# - Crystal system: tetragonal
data_Nd2GdHo
_symmetry_space_group_name_H-M 'P 4/m m m'
_symmetry_Int_Tables_number 123
_symmetry_space_group_name_Hall '-P 4 2'
_cell_length_a 5.128
_cell_length_b 5.128
_cell_length_c 5.084
_cell_angle_alpha 90.00
_cell_angle_beta 90.00
_cell_angle_gamma 90.00
loop_
_atom_site_label
_atom_site_fract_x
_atom_site_fract_y
_atom_site_fract_z
_atom_site_occupancy
Nd1 0.000 0.500 0.000 1
Gd1 0.000 0.000 0.500 1
Ho1 0.500 0.500 0.500 1

---

# LaMnTe2N (PBE, optimized geometry)
# - V: 112.9 Å³ per cell
# - Total DFT energy (no corrections): -31.18 eV/cell
# - Raw formation energy: -2.47 eV per formula unit
# - Crystal system: tetragonal
data_LaMnTe2N
_symmetry_space_group_name_H-M 'P 4/m m m'
_symmetry_Int_Tables_number 123
_symmetry_space_group_name_Hall '-P 4 2'
_cell_length_a 5.529
_cell_length_b 5.529
_cell_length_c 3.695
_cell_angle_alpha 90.00
_cell_angle_beta 90.00
_cell_angle_gamma 90.00
loop_
_atom_site_label
_atom_site_fract_x
_atom_site_fract_y
_atom_site_fract_z
_atom_site_occupancy
La1 0.000 0.000 0.000 1
Mn1 0.500 0.500 0.500 1
Te1 0.000 0.500 0.500 1
N1 0.500 0.500 0.000 1